11
Lattice="6.431 0.000 0.000 -3.216 5.570 0.000 0.000 0.000 3.954" Properties=species:S:1:pos:R:3 comment="Cu2TcF8 (PBE, optimized geometry)" dos_ef_per_ev_cell=8.1 energy_ev_per_atom=-4.726 space_group="P-3m1, No. 164" total_magnetization_mub_per_fu=2.97 rho_g_cm3=4.42 pbc="T T T"
Cu 0.000 3.713 1.058
Cu 3.216 1.857 2.896
Tc 0.000 0.000 1.977
F 0.000 1.666 0.982
F -1.773 4.737 0.982
F 1.443 0.833 2.972
F 0.000 3.713 3.023
F 3.216 1.857 0.931
F 1.773 4.737 0.982
F 4.989 0.833 2.972
F 3.216 3.904 2.972

8
Lattice="2.972 1.716 9.693 -2.972 1.716 9.693 0.000 -3.432 9.693" Properties=species:S:1:pos:R:3 comment="Ba4CdAgHg2 (PBE, optimized geometry)" dos_ef_per_ev_cell=6.3 space_group="R-3m, No. 166" total_magnetization_mub_per_fu=0.00 rho_g_cm3=6.55 formation_energy_kcal_per_mol_atoms=-9.1 pbc="T T T"
Ba 0.000 0.000 3.581
Ba 0.000 0.000 10.862
Ba 0.000 0.000 18.218
Ba 0.000 0.000 25.499
Cd 0.000 0.000 14.540
Ag 0.000 0.000 0.000
Hg 0.000 0.000 7.188
Hg 0.000 0.000 21.891

5
Lattice="-1.854 1.854 13.103 1.854 -1.854 13.103 1.854 1.854 -13.103" Properties=species:S:1:pos:R:3 comment="PmPr4 (PBE, optimized geometry)" dos_ef_per_ev_cell=8.2 space_group="I4/mmm, No. 139" total_magnetization_mub_per_fu=0.00 rho_g_cm3=6.54 formation_energy_kcal_per_mol_atoms=0.3 de_polymorph_mev_per_atom=1.2 pbc="T T T"
Pm 0.000 0.000 0.000
Pr 0.000 0.000 5.232
Pr 0.000 0.000 10.507
Pr 0.000 0.000 15.699
Pr 0.000 0.000 20.974

5
Lattice="5.819 0.000 0.000 0.000 5.819 0.000 0.000 0.000 4.646" Properties=species:S:1:pos:R:3 comment="NaTiPI2 (PBE, optimized geometry)" dos_ef_per_ev_cell=1.5 energy_ev_per_atom=-3.994 space_group="P4/mmm, No. 123" total_magnetization_mub_per_fu=0.00 rho_g_cm3=3.75 pbc="T T T"
Na 0.000 0.000 0.000
Ti 2.909 2.909 2.323
P 2.909 2.909 0.000
I 0.000 2.909 2.323
I 2.909 0.000 2.323

10
Lattice="5.713 0.000 0.000 -2.857 4.948 0.000 0.000 0.000 10.349" Properties=species:S:1:pos:R:3 comment="Sr3InO (PBE, optimized geometry)" dos_ef_per_ev_cell=8.5 energy_ev_per_atom=-3.362 space_group="P6_3/mmc, No. 194" total_magnetization_mub_per_fu=0.89 rho_g_cm3=4.47 pbc="T T T"
Sr 0.000 0.000 2.587
Sr 0.000 0.000 7.761
Sr 0.000 3.298 0.694
Sr 0.000 3.298 4.481
Sr 2.857 1.649 5.868
Sr 2.857 1.649 9.655
In 0.000 3.298 7.761
In 2.857 1.649 2.587
O 0.000 0.000 0.000
O 0.000 0.000 5.174

5
Lattice="5.654 0.000 0.000 0.000 5.654 0.000 0.000 0.000 5.654" Properties=species:S:1:pos:R:3 comment="Ca3SiHg (PBE, optimized geometry)" dos_ef_per_ev_cell=4.5 space_group="Pm-3m, No. 221" total_magnetization_mub_per_fu=0.00 rho_g_cm3=3.21 de_polymorph_mev_per_atom=186.2 pbc="T T T"
Ca 0.000 0.000 2.827
Ca 0.000 2.827 0.000
Ca 2.827 0.000 0.000
Si 0.000 0.000 0.000
Hg 2.827 2.827 2.827

12
Lattice="7.982 -2.562 0.000 7.982 2.562 0.000 -0.381 0.000 8.506" Properties=species:S:1:pos:R:3 comment="SmTaSe4 (PBE, optimized geometry)" dos_ef_per_ev_cell=3.0 energy_ev_per_atom=-6.100 space_group="C2/m, No. 12" total_magnetization_mub_per_fu=0.00 rho_g_cm3=6.18 pbc="T T T"
Sm 3.852 0.000 2.256
Sm 11.732 0.000 6.250
Ta 6.289 0.000 7.100
Ta 9.295 0.000 1.406
Se 1.070 0.000 1.443
Se 3.730 0.000 7.682
Se 5.360 0.000 4.764
Se 6.715 0.000 1.203
Se 8.869 0.000 7.303
Se 10.224 0.000 3.742
Se 11.854 0.000 0.824
Se 14.514 0.000 7.063

10
Lattice="6.991 0.000 0.000 0.000 4.025 0.000 -2.832 0.000 9.313" Properties=species:S:1:pos:R:3 comment="Pm3CoCl (PBE, optimized geometry)" dos_ef_per_ev_cell=6.6 space_group="P2_1/m, No. 11" total_magnetization_mub_per_fu=0.00 rho_g_cm3=6.71 de_polymorph_mev_per_atom=0.0 pbc="T T T"
Pm -0.933 1.006 3.119
Pm -1.392 1.006 9.265
Pm 1.198 1.006 6.818
Pm 2.961 3.019 2.495
Pm 5.551 3.019 0.048
Pm 5.092 3.019 6.194
Co 0.095 3.019 8.414
Co 4.064 1.006 0.899
Cl 0.706 3.019 4.545
Cl 3.453 1.006 4.768

12
Lattice="2.503 1.445 8.067 -2.503 1.445 8.067 0.000 -2.890 8.067" Properties=species:S:1:pos:R:3 comment="CaY2Ni9 (PBE, optimized geometry)" dos_ef_per_ev_cell=12.6 space_group="R-3m, No. 166" total_magnetization_mub_per_fu=1.87 rho_g_cm3=7.08 formation_energy_kcal_per_mol_atoms=-7.1 pbc="T T T"
Ca 0.000 0.000 0.000
Y 0.000 0.000 3.345
Y 0.000 0.000 20.855
Ni -1.255 -0.725 10.052
Ni 0.000 0.000 8.053
Ni 0.000 -1.449 14.148
Ni -1.255 0.725 14.148
Ni 0.000 0.000 12.100
Ni 1.255 -0.725 10.052
Ni 0.000 1.449 10.052
Ni 0.000 0.000 16.147
Ni 1.255 0.725 14.148

6
Lattice="0.000 3.640 3.640 3.640 0.000 3.640 3.640 3.640 0.000" Properties=species:S:1:pos:R:3 comment="TiNbTc4 (PBE, optimized geometry)" dos_ef_per_ev_cell=8.4 space_group="F-43m, No. 216" total_magnetization_mub_per_fu=0.00 rho_g_cm3=9.17 formation_energy_kcal_per_mol_atoms=-2.7 de_polymorph_mev_per_atom=0.0 pbc="T T T"
Ti 0.000 0.000 0.000
Nb 1.820 1.820 1.820
Tc 4.553 2.728 2.728
Tc 2.728 4.553 2.728
Tc 2.728 2.728 4.553
Tc 4.553 4.553 4.553